Density functional theory data (GGA-PBE) for In2SiOs after structural relaxation.

The structure in extended XYZ format:
```
4
Lattice="2.9938 -0.0191 0.0000 -1.3403 2.6771 0.0000 0.0000 0.0000 9.6067" Properties=species:S:1:pos:R:3 pbc="T T T"
In 0.0000 0.0000 0.1381
In 0.0000 0.0000 4.6652
Os 0.8268 1.3290 2.4017
Si 0.8268 1.3290 7.2050
```

SG   Cmmm, No. 65
ΔE_f (raw)   0.7038 eV per atom

=====

Density functional theory data (GGA-PBE) for Re2HgAs after structural relaxation.

The structure in extended XYZ format:
```
4
Lattice="5.0661 0.0040 0.0122 -2.4161 4.7670 -0.0043 0.2339 0.9073 2.8001" Properties=species:S:1:pos:R:3 pbc="T T T"
Re 0.0000 0.0000 0.0000
Re 2.6500 0.4556 1.4062
As -1.0911 2.8371 1.3979
Hg 1.3250 2.3855 0.0040
```

Energy relative to the elements   978 meV per atom
SG   C2/m, No. 12

=====

Density functional theory data (GGA-PBE) for BeTl2InSe4 after structural relaxation.

The structure in extended XYZ format:
```
8
Lattice="-4.8835 -1.3212 4.7184 2.7489 -6.3790 -0.4244 4.1144 4.9311 1.3098" Properties=species:S:1:pos:R:3 pbc="T T T"
Be 0.5645 0.4055 5.7693
Tl 3.9522 -2.2769 2.7141
Tl 1.2792 0.4553 1.4510
In 0.3758 -3.3380 3.7833
Se 1.4356 -0.9375 4.1705
Se -2.1677 -2.7760 4.2775
Se 1.4368 -4.4280 1.6112
Se 3.4017 2.6563 1.3142
```

SG   C2, No. 5
ΔE_f (raw)   -0.4398 eV per atom

=====

| no. | calculated volume (Å³ per atom) | total magnetization (Bohr magnetons per cell) |
| --- | --- | --- |
| 1 | 19.187 | 0.00 |
| 2 | 16.907 | 0.00 |
| 3 | 28.181 | 0.00 |